No. 1
First-principles (PBE) data for a relaxed structure of Be2Mo2As3P, as listed in OQMD via LeMat-Bulk.

calculated total energy = -5.8020 eV per atom
space-group type = C2 (5)
V = 20.05 Å³/atom

CIF file:
```
data_Be2Mo2As3P
_chemical_formula_sum 'Be2 Mo2 As3 P1'
_cell_length_a 6.640
_cell_length_b 6.640
_cell_length_c 5.469
_cell_angle_alpha 114.02
_cell_angle_beta 114.02
_cell_angle_gamma 47.99
_symmetry_space_group_name_H-M 'P 1'
_symmetry_Int_Tables_number 1
loop_
_symmetry_equiv_pos_as_xyz
'x,y,z'
loop_
_atom_site_label
_atom_site_type_symbol
_atom_site_fract_x
_atom_site_fract_y
_atom_site_fract_z
As1 As 0.874 0.627 0.281
As2 As 0.655 0.345 0.500
As3 As 0.373 0.126 0.719
Be1 Be 0.006 0.235 0.359
Be2 Be 0.765 0.994 0.641
Mo1 Mo 0.246 0.512 0.121
Mo2 Mo 0.488 0.754 0.879
P1 P 0.094 0.906 0.000
```

---

No. 2
First-principles (PBE) data for a relaxed structure of NaBeNiAs, as listed in OQMD via LeMat-Bulk.

space-group type = F-43m (216)
V = 13.59 Å³/atom
polymorph energy (0 for the lowest one) = 0 meV per atom

CIF file:
```
data_NaBeNiAs
_chemical_formula_sum 'Na1 Be1 Ni1 As1'
_cell_length_a 4.252
_cell_length_b 4.252
_cell_length_c 4.252
_cell_angle_alpha 60.00
_cell_angle_beta 60.00
_cell_angle_gamma 60.00
_symmetry_space_group_name_H-M 'P 1'
_symmetry_Int_Tables_number 1
loop_
_symmetry_equiv_pos_as_xyz
'x,y,z'
loop_
_atom_site_label
_atom_site_type_symbol
_atom_site_fract_x
_atom_site_fract_y
_atom_site_fract_z
As1 As 0.250 0.250 0.250
Be1 Be 0.750 0.750 0.750
Na1 Na 0.000 0.000 0.000
Ni1 Ni 0.500 0.500 0.500
```

---

No. 3
First-principles (PBE) data for a relaxed structure of NaBeNiAs, as listed in OQMD via LeMat-Bulk.

space-group type = F-43m (216)
V = 13.50 Å³/atom
polymorph energy (0 for the lowest one) = 79 meV per atom

CIF file:
```
data_NaBeNiAs
_chemical_formula_sum 'Na1 Be1 Ni1 As1'
_cell_length_a 4.242
_cell_length_b 4.242
_cell_length_c 4.242
_cell_angle_alpha 60.00
_cell_angle_beta 60.00
_cell_angle_gamma 60.00
_symmetry_space_group_name_H-M 'P 1'
_symmetry_Int_Tables_number 1
loop_
_symmetry_equiv_pos_as_xyz
'x,y,z'
loop_
_atom_site_label
_atom_site_type_symbol
_atom_site_fract_x
_atom_site_fract_y
_atom_site_fract_z
As1 As 0.500 0.500 0.500
Be1 Be 0.750 0.750 0.750
Na1 Na 0.000 0.000 0.000
Ni1 Ni 0.250 0.250 0.250
```

---

No. 4
First-principles (PBE) data for a relaxed structure of NaBeNiAs, as listed in OQMD via LeMat-Bulk.

space-group type = F-43m (216)
V = 14.03 Å³/atom
polymorph energy (0 for the lowest one) = 141 meV per atom

CIF file:
```
data_NaBeNiAs
_chemical_formula_sum 'Na1 Be1 Ni1 As1'
_cell_length_a 4.297
_cell_length_b 4.297
_cell_length_c 4.297
_cell_angle_alpha 60.00
_cell_angle_beta 60.00
_cell_angle_gamma 60.00
_symmetry_space_group_name_H-M 'P 1'
_symmetry_Int_Tables_number 1
loop_
_symmetry_equiv_pos_as_xyz
'x,y,z'
loop_
_atom_site_label
_atom_site_type_symbol
_atom_site_fract_x
_atom_site_fract_y
_atom_site_fract_z
As1 As 0.000 0.000 0.000
Be1 Be 0.250 0.250 0.250
Na1 Na 0.750 0.750 0.750
Ni1 Ni 0.500 0.500 0.500
```

---

No. 5
First-principles (PBE) data for a relaxed structure of NaBeAsPd, as listed in OQMD via LeMat-Bulk.

space-group type = F-43m (216)
V = 15.33 Å³/atom
polymorph energy (0 for the lowest one) = 95 meV per atom

CIF file:
```
data_NaBeAsPd
_chemical_formula_sum 'Na1 Be1 As1 Pd1'
_cell_length_a 4.426
_cell_length_b 4.426
_cell_length_c 4.426
_cell_angle_alpha 60.00
_cell_angle_beta 60.00
_cell_angle_gamma 60.00
_symmetry_space_group_name_H-M 'P 1'
_symmetry_Int_Tables_number 1
loop_
_symmetry_equiv_pos_as_xyz
'x,y,z'
loop_
_atom_site_label
_atom_site_type_symbol
_atom_site_fract_x
_atom_site_fract_y
_atom_site_fract_z
As1 As 0.000 0.000 0.000
Be1 Be 0.750 0.750 0.750
Na1 Na 0.500 0.500 0.500
Pd1 Pd 0.250 0.250 0.250
```

---

No. 6
First-principles (PBE) data for a relaxed structure of NaBeAsPd, as listed in OQMD via LeMat-Bulk.

space-group type = F-43m (216)
V = 14.99 Å³/atom
polymorph energy (0 for the lowest one) = 0 meV per atom

CIF file:
```
data_NaBeAsPd
_chemical_formula_sum 'Na1 Be1 As1 Pd1'
_cell_length_a 4.393
_cell_length_b 4.393
_cell_length_c 4.393
_cell_angle_alpha 60.00
_cell_angle_beta 60.00
_cell_angle_gamma 60.00
_symmetry_space_group_name_H-M 'P 1'
_symmetry_Int_Tables_number 1
loop_
_symmetry_equiv_pos_as_xyz
'x,y,z'
loop_
_atom_site_label
_atom_site_type_symbol
_atom_site_fract_x
_atom_site_fract_y
_atom_site_fract_z
As1 As 0.500 0.500 0.500
Be1 Be 0.000 0.000 0.000
Na1 Na 0.750 0.750 0.750
Pd1 Pd 0.250 0.250 0.250
```